# 1
# PBE-GGA NaSb3Os, relaxed
# E_form (uncorrected) in eV per atom: 0.463
# DFT total energy in eV per cell: -22.6
# Space-group type: Pm-3m
# Energy relative to the lowest polymorph listed for this composition in eV/atom: 0.000
data_NaSb3Os
_symmetry_space_group_name_H-M 'P 1'
_symmetry_Int_Tables_number 1
_cell_length_a 5.246
_cell_length_b 5.246
_cell_length_c 5.246
_cell_angle_alpha 90.00
_cell_angle_beta 90.00
_cell_angle_gamma 90.00
loop_
_symmetry_equiv_pos_as_xyz
'x,y,z'
loop_
_atom_site_label
_atom_site_type_symbol
_atom_site_fract_x
_atom_site_fract_y
_atom_site_fract_z
Na1 Na 0.000 0.000 0.000
Sb1 Sb 0.000 0.500 0.500
Sb2 Sb 0.500 0.000 0.500
Sb3 Sb 0.500 0.500 0.000
Os1 Os 0.500 0.500 0.500

***

# 2
# PBE-GGA NaSb3Os, relaxed
# E_form (uncorrected) in eV per atom: 1.806
# DFT total energy in eV per cell: -15.9
# Space-group type: Pm-3m
# Energy relative to the lowest polymorph listed for this composition in eV/atom: 1.343
data_NaSb3Os
_symmetry_space_group_name_H-M 'P 1'
_symmetry_Int_Tables_number 1
_cell_length_a 5.166
_cell_length_b 5.166
_cell_length_c 5.166
_cell_angle_alpha 90.00
_cell_angle_beta 90.00
_cell_angle_gamma 90.00
loop_
_symmetry_equiv_pos_as_xyz
'x,y,z'
loop_
_atom_site_label
_atom_site_type_symbol
_atom_site_fract_x
_atom_site_fract_y
_atom_site_fract_z
Na1 Na 0.000 0.000 0.000
Sb1 Sb 0.000 0.000 0.500
Sb2 Sb 0.000 0.500 0.000
Sb3 Sb 0.500 0.000 0.000
Os1 Os 0.500 0.500 0.500

***

# 3
# PBE-GGA Na2Sb2Os, relaxed
# E_form (uncorrected) in eV per atom: -0.009
# DFT total energy in eV per cell: -44.3
# Space-group type: P4/mbm
data_Na2Sb2Os
_symmetry_space_group_name_H-M 'P 1'
_symmetry_Int_Tables_number 1
_cell_length_a 6.865
_cell_length_b 6.865
_cell_length_c 5.251
_cell_angle_alpha 90.00
_cell_angle_beta 90.00
_cell_angle_gamma 90.00
loop_
_symmetry_equiv_pos_as_xyz
'x,y,z'
loop_
_atom_site_label
_atom_site_type_symbol
_atom_site_fract_x
_atom_site_fract_y
_atom_site_fract_z
Na1 Na 0.179 0.321 0.000
Na2 Na 0.321 0.821 0.000
Na3 Na 0.679 0.179 0.000
Na4 Na 0.821 0.679 0.000
Sb1 Sb 0.150 0.650 0.500
Sb2 Sb 0.350 0.150 0.500
Sb3 Sb 0.650 0.850 0.500
Sb4 Sb 0.850 0.350 0.500
Os1 Os 0.000 0.000 0.500
Os2 Os 0.500 0.500 0.500

***

# 4
# PBE-GGA NaSb12Os4, relaxed
# E_form (uncorrected) in eV per atom: -0.033
# DFT total energy in eV per cell: -96.3
# Space-group type: Im-3
data_NaSb12Os4
_symmetry_space_group_name_H-M 'P 1'
_symmetry_Int_Tables_number 1
_cell_length_a 8.172
_cell_length_b 8.172
_cell_length_c 8.172
_cell_angle_alpha 109.47
_cell_angle_beta 109.47
_cell_angle_gamma 109.47
loop_
_symmetry_equiv_pos_as_xyz
'x,y,z'
loop_
_atom_site_label
_atom_site_type_symbol
_atom_site_fract_x
_atom_site_fract_y
_atom_site_fract_z
Na1 Na 0.000 0.000 0.000
Sb1 Sb 0.157 0.339 0.496
Sb2 Sb 0.157 0.661 0.817
Sb3 Sb 0.183 0.843 0.339
Sb4 Sb 0.339 0.183 0.843
Sb5 Sb 0.339 0.496 0.157
Sb6 Sb 0.496 0.157 0.339
Sb7 Sb 0.504 0.843 0.661
Sb8 Sb 0.661 0.504 0.843
Sb9 Sb 0.661 0.817 0.157
Sb10 Sb 0.817 0.157 0.661
Sb11 Sb 0.843 0.339 0.183
Sb12 Sb 0.843 0.661 0.504
Os1 Os 0.000 0.000 0.500
Os2 Os 0.000 0.500 0.000
Os3 Os 0.500 0.000 0.000
Os4 Os 0.500 0.500 0.500

***

# 5
# PBE-GGA NaSb2Os, relaxed
# E_form (uncorrected) in eV per atom: 0.209
# DFT total energy in eV per cell: -79.8
# Space-group type: Fm-3m
# Energy relative to the lowest polymorph listed for this composition in eV/atom: 0.000
data_NaSb2Os
_symmetry_space_group_name_H-M 'P 1'
_symmetry_Int_Tables_number 1
_cell_length_a 6.779
_cell_length_b 6.779
_cell_length_c 6.779
_cell_angle_alpha 90.00
_cell_angle_beta 90.00
_cell_angle_gamma 90.00
loop_
_symmetry_equiv_pos_as_xyz
'x,y,z'
loop_
_atom_site_label
_atom_site_type_symbol
_atom_site_fract_x
_atom_site_fract_y
_atom_site_fract_z
Na1 Na 0.000 0.000 0.000
Na2 Na 0.000 0.500 0.500
Na3 Na 0.500 0.000 0.500
Na4 Na 0.500 0.500 0.000
Sb1 Sb 0.250 0.250 0.250
Sb2 Sb 0.250 0.250 0.750
Sb3 Sb 0.250 0.750 0.250
Sb4 Sb 0.250 0.750 0.750
Sb5 Sb 0.750 0.250 0.250
Sb6 Sb 0.750 0.250 0.750
Sb7 Sb 0.750 0.750 0.250
Sb8 Sb 0.750 0.750 0.750
Os1 Os 0.000 0.000 0.500
Os2 Os 0.000 0.500 0.000
Os3 Os 0.500 0.000 0.000
Os4 Os 0.500 0.500 0.500

***

# 6
# PBE-GGA NaSb2Os, relaxed
# E_form (uncorrected) in eV per atom: 0.350
# DFT total energy in eV per cell: -77.6
# Space-group type: I-42d
# Energy relative to the lowest polymorph listed for this composition in eV/atom: 0.141
data_NaSb2Os
_symmetry_space_group_name_H-M 'P 1'
_symmetry_Int_Tables_number 1
_cell_length_a 6.929
_cell_length_b 6.929
_cell_length_c 11.479
_cell_angle_alpha 90.00
_cell_angle_beta 90.00
_cell_angle_gamma 90.00
loop_
_symmetry_equiv_pos_as_xyz
'x,y,z'
loop_
_atom_site_label
_atom_site_type_symbol
_atom_site_fract_x
_atom_site_fract_y
_atom_site_fract_z
Na1 Na 0.000 0.000 0.000
Na2 Na 0.000 0.500 0.250
Na3 Na 0.500 0.000 0.750
Na4 Na 0.500 0.500 0.500
Sb1 Sb 0.166 0.250 0.625
Sb2 Sb 0.250 0.666 0.875
Sb3 Sb 0.250 0.834 0.375
Sb4 Sb 0.334 0.250 0.125
Sb5 Sb 0.666 0.750 0.125
Sb6 Sb 0.750 0.166 0.375
Sb7 Sb 0.750 0.334 0.875
Sb8 Sb 0.834 0.750 0.625
Os1 Os 0.000 0.000 0.500
Os2 Os 0.000 0.500 0.750
Os3 Os 0.500 0.000 0.250
Os4 Os 0.500 0.500 0.000

***

# 7
# PBE-GGA NaSbOs2Se, relaxed
# E_form (uncorrected) in eV per atom: 2.319
# DFT total energy in eV per cell: -19.8
# Space-group type: P4/mmm
data_NaSbOs2Se
_symmetry_space_group_name_H-M 'P 1'
_symmetry_Int_Tables_number 1
_cell_length_a 4.783
_cell_length_b 4.783
_cell_length_c 4.503
_cell_angle_alpha 90.00
_cell_angle_beta 90.00
_cell_angle_gamma 90.00
loop_
_symmetry_equiv_pos_as_xyz
'x,y,z'
loop_
_atom_site_label
_atom_site_type_symbol
_atom_site_fract_x
_atom_site_fract_y
_atom_site_fract_z
Na1 Na 0.000 0.000 0.000
Sb1 Sb 0.500 0.500 0.500
Os1 Os 0.000 0.500 0.000
Os2 Os 0.500 0.000 0.000
Se1 Se 0.000 0.000 0.500

***

# 8
# PBE-GGA NaSrSbOs2, relaxed
# E_form (uncorrected) in eV per atom: 2.450
# DFT total energy in eV per cell: -17.3
# Space-group type: P4/mmm
data_NaSrSbOs2
_symmetry_space_group_name_H-M 'P 1'
_symmetry_Int_Tables_number 1
_cell_length_a 5.346
_cell_length_b 5.346
_cell_length_c 5.955
_cell_angle_alpha 90.00
_cell_angle_beta 90.00
_cell_angle_gamma 90.00
loop_
_symmetry_equiv_pos_as_xyz
'x,y,z'
loop_
_atom_site_label
_atom_site_type_symbol
_atom_site_fract_x
_atom_site_fract_y
_atom_site_fract_z
Na1 Na 0.000 0.000 0.000
Sr1 Sr 0.500 0.500 0.500
Sb1 Sb 0.500 0.500 0.000
Os1 Os 0.000 0.500 0.500
Os2 Os 0.500 0.000 0.500

***

# 9
# PBE-GGA NaSbTe2Os, relaxed
# E_form (uncorrected) in eV per atom: 0.367
# DFT total energy in eV per cell: -21.1
# Space-group type: P4/mmm
# Energy relative to the lowest polymorph listed for this composition in eV/atom: 0.000
data_NaSbTe2Os
_symmetry_space_group_name_H-M 'P 1'
_symmetry_Int_Tables_number 1
_cell_length_a 5.535
_cell_length_b 5.535
_cell_length_c 5.009
_cell_angle_alpha 90.00
_cell_angle_beta 90.00
_cell_angle_gamma 90.00
loop_
_symmetry_equiv_pos_as_xyz
'x,y,z'
loop_
_atom_site_label
_atom_site_type_symbol
_atom_site_fract_x
_atom_site_fract_y
_atom_site_fract_z
Na1 Na 0.000 0.000 0.000
Sb1 Sb 0.500 0.500 0.000
Te1 Te 0.000 0.500 0.500
Te2 Te 0.500 0.000 0.500
Os1 Os 0.500 0.500 0.500

***

# 10
# PBE-GGA NaSbTe2Os, relaxed
# E_form (uncorrected) in eV per atom: 1.743
# DFT total energy in eV per cell: -14.2
# Space-group type: P4/mmm
# Energy relative to the lowest polymorph listed for this composition in eV/atom: 1.376
data_NaSbTe2Os
_symmetry_space_group_name_H-M 'P 1'
_symmetry_Int_Tables_number 1
_cell_length_a 5.323
_cell_length_b 5.323
_cell_length_c 5.238
_cell_angle_alpha 90.00
_cell_angle_beta 90.00
_cell_angle_gamma 90.00
loop_
_symmetry_equiv_pos_as_xyz
'x,y,z'
loop_
_atom_site_label
_atom_site_type_symbol
_atom_site_fract_x
_atom_site_fract_y
_atom_site_fract_z
Na1 Na 0.000 0.000 0.000
Sb1 Sb 0.000 0.000 0.500
Te1 Te 0.000 0.500 0.000
Te2 Te 0.500 0.000 0.000
Os1 Os 0.500 0.500 0.500

***

# 11
# PBE-GGA Na2TiSbOs, relaxed
# E_form (uncorrected) in eV per atom: 1.740
# DFT total energy in eV per cell: -17.2
# Space-group type: P4/mmm
data_Na2TiSbOs
_symmetry_space_group_name_H-M 'P 1'
_symmetry_Int_Tables_number 1
_cell_length_a 5.513
_cell_length_b 5.513
_cell_length_c 5.127
_cell_angle_alpha 90.00
_cell_angle_beta 90.00
_cell_angle_gamma 90.00
loop_
_symmetry_equiv_pos_as_xyz
'x,y,z'
loop_
_atom_site_label
_atom_site_type_symbol
_atom_site_fract_x
_atom_site_fract_y
_atom_site_fract_z
Na1 Na 0.000 0.500 0.000
Na2 Na 0.500 0.000 0.000
Ti1 Ti 0.000 0.000 0.000
Sb1 Sb 0.000 0.000 0.500
Os1 Os 0.500 0.500 0.500

***

# 12
# PBE-GGA Na2ScOs, relaxed
# Formation energy in eV per atom: 0.99
# DFT total energy in eV per cell: -64.9
# Space-group type: Fm-3m
# Energy relative to the lowest polymorph listed for this composition in eV/atom: 0.403
data_Na2ScOs
_symmetry_space_group_name_H-M 'P 1'
_symmetry_Int_Tables_number 1
_cell_length_a 6.784
_cell_length_b 6.784
_cell_length_c 6.784
_cell_angle_alpha 90.00
_cell_angle_beta 90.00
_cell_angle_gamma 90.00
loop_
_symmetry_equiv_pos_as_xyz
'x,y,z'
loop_
_atom_site_label
_atom_site_type_symbol
_atom_site_fract_x
_atom_site_fract_y
_atom_site_fract_z
Na1 Na 0.250 0.250 0.250
Na2 Na 0.250 0.250 0.750
Na3 Na 0.250 0.750 0.250
Na4 Na 0.250 0.750 0.750
Na5 Na 0.750 0.250 0.250
Na6 Na 0.750 0.250 0.750
Na7 Na 0.750 0.750 0.250
Na8 Na 0.750 0.750 0.750
Sc1 Sc 0.000 0.000 0.000
Sc2 Sc 0.000 0.500 0.500
Sc3 Sc 0.500 0.000 0.500
Sc4 Sc 0.500 0.500 0.000
Os1 Os 0.000 0.000 0.500
Os2 Os 0.000 0.500 0.000
Os3 Os 0.500 0.000 0.000
Os4 Os 0.500 0.500 0.500